CaTl2IO: relaxed, PBE.

abc: 6.2815 6.2815 5.8249
angles: 90.00 90.00 90.00
Closest atoms and distances in Å follow each position.
Fractional positions:
Ca (0.0000, 0.0000, 0.0000)  2 I 2.91
Tl (0.0000, 0.5000, 0.5000)  2 I 3.14
Tl (0.5000, 0.0000, 0.5000)  2 I 3.14
I (0.0000, 0.0000, 0.5000)  2 Ca 2.91, 4 Tl 3.14
O (0.5000, 0.5000, 0.0000)  8 Tl 4.28, 4 Ca 4.44

Properties
Its space group is P4/mmm, No. 123. The total energy comes out at -11.012 eV/f.u. As for the formation energy (no corrections): 0.45 eV/atom. Its calculated volume is 46.0 Å³ per atom.